Sm3Pu4S8 | PBE | optimized geometry

a = 7.9591 Å, b = 7.9591 Å, c = 7.9506 Å
α = 119.90°, β = 119.90°, γ = 90.22°
Sites, in units of the cell vectors:
Sm 0.0000 0.0000 0.0000
Sm 0.0000 0.5000 0.5000
Sm 0.5000 0.0000 0.5000
Pu 0.0000 0.0000 0.5000
Pu 0.0000 0.5000 0.0000
Pu 0.5000 0.0000 0.0000
Pu 0.5000 0.5000 0.0000
S 0.2493 0.2493 0.9960
S 0.2494 0.7506 0.5000
S 0.2502 0.2502 0.5040
S 0.2508 0.7492 0.0000
S 0.7492 0.2508 0.0000
S 0.7498 0.7498 0.4960
S 0.7506 0.2494 0.5000
S 0.7507 0.7507 0.0040

## Properties
ΔE_f (raw)	-1.864	eV/atom
total energy	-8.831	eV/atom
SG	C2/m

SmPuS4 | PBE | optimized geometry

a = 6.3176 Å, b = 6.3176 Å, c = 4.1420 Å
α = 90.00°, β = 90.00°, γ = 90.78°
Sites, in units of the cell vectors:
Sm 0.0000 0.0000 0.0000
Pu 0.5000 0.5000 0.5000
S 0.2069 0.2069 0.5000
S 0.3158 0.6842 0.0000
S 0.6842 0.3158 0.0000
S 0.7931 0.7931 0.5000

## Properties
ΔE_f (raw)	-1.361	eV/atom
total energy	-7.288	eV/atom
SG	Cmmm

Sm6PuS8 | PBE | optimized geometry

a = 8.0028 Å, b = 8.0028 Å, c = 8.0028 Å
α = 60.00°, β = 60.00°, γ = 60.00°
Sites, in units of the cell vectors:
Sm 0.0000 0.0000 0.5000
Sm 0.0000 0.5000 0.0000
Sm 0.0000 0.5000 0.5000
Sm 0.5000 0.0000 0.0000
Sm 0.5000 0.0000 0.5000
Sm 0.5000 0.5000 0.0000
Pu 0.0000 0.0000 0.0000
S 0.2486 0.2486 0.7514
S 0.2486 0.7514 0.2486
S 0.2486 0.7514 0.7514
S 0.2500 0.2500 0.2500
S 0.7500 0.7500 0.7500
S 0.7514 0.2486 0.2486
S 0.7514 0.2486 0.7514
S 0.7514 0.7514 0.2486

## Properties
ΔE_f (raw)	-2.005	eV/atom
total energy	-7.050	eV/atom
SG	Fm-3m

SmPu2S5 | PBE | optimized geometry

a = 8.8381 Å, b = 8.1814 Å, c = 5.0638 Å
α = 79.95°, β = 65.71°, γ = 34.34°
Sites, in units of the cell vectors:
Sm 0.0000 0.0000 0.0000
Pu 0.3224 0.3224 0.6776
Pu 0.6776 0.6776 0.3224
S 0.0044 0.6755 0.3245
S 0.3245 0.9956 0.0044
S 0.5000 0.5000 0.5000
S 0.6755 0.0044 0.9956
S 0.9956 0.3245 0.6755

## Properties
ΔE_f (raw)	-1.445	eV/atom
total energy	-8.197	eV/atom
SG	Fmmm

Question: What is the formula in the fourth record?
Answer: SmPu2S5

Copy entry 4 word for word.
SmPu2S5 | PBE | optimized geometry

a = 8.8381 Å, b = 8.1814 Å, c = 5.0638 Å
α = 79.95°, β = 65.71°, γ = 34.34°
Sites, in units of the cell vectors:
Sm 0.0000 0.0000 0.0000
Pu 0.3224 0.3224 0.6776
Pu 0.6776 0.6776 0.3224
S 0.0044 0.6755 0.3245
S 0.3245 0.9956 0.0044
S 0.5000 0.5000 0.5000
S 0.6755 0.0044 0.9956
S 0.9956 0.3245 0.6755

## Properties
ΔE_f (raw)	-1.445	eV/atom
total energy	-8.197	eV/atom
SG	Fmmm

Question: Which formula does entry 3 have?
Answer: Sm6PuS8

Question: Which formula does entry 3 have?
Answer: Sm6PuS8